Entry 1:
Here is a geometry-optimized Ce3Cd2Co structure from Alexandria. Energies are from PBE.

The value obtained for the total energy is -4.485 eV/atom. The magnetic moment is 0.356 μB/atom.

a = 7.7081 Å, b = 6.3140 Å, c = 8.2598 Å
α = 86.40°, β = 84.09°, γ = 52.38°
Fractional positions:
Ce (0.3345, 0.0000, 0.1682)
Ce (0.0990, 0.3817, 0.7870)
Ce (0.9010, 0.6183, 0.2130)
Ce (0.4807, 0.6183, 0.7870)
Ce (0.6655, 0.0000, 0.8318)
Ce (0.5193, 0.3817, 0.2130)
Co (0.7200, 0.5600, 0.0000)
Co (0.2800, 0.4400, 0.0000)
Cd (0.8614, 0.2772, 0.5000)
Cd (0.5000, 0.0000, 0.5000)
Cd (0.1386, 0.7228, 0.5000)
Cd (0.0000, 0.0000, 0.0000)

Entry 2:
Here is a geometry-optimized Ce4CdCo2 structure from Alexandria. Energies are from PBE.

The value obtained for the total energy is -5.634 eV/atom. The magnetic moment is 0.259 μB/atom.

a = 3.8723 Å, b = 3.8723 Å, c = 13.5646 Å
α = 81.79°, β = 81.79°, γ = 60.00°
Fractional positions:
Cd (0.5000, 0.5000, 0.5000)
Ce (0.6962, 0.6962, 0.9115)
Ce (0.8968, 0.8968, 0.3096)
Ce (0.1032, 0.1032, 0.6904)
Ce (0.3038, 0.3038, 0.0885)
Co (0.6028, 0.6028, 0.1915)
Co (0.3972, 0.3972, 0.8085)

Entry 3:
Here is a geometry-optimized Ce4Cd2Co structure from Alexandria. Energies are from PBE.

The value obtained for the total energy is -4.692 eV/atom. The magnetic moment is 0.339 μB/atom.

a = 4.9714 Å, b = 4.9714 Å, c = 8.8966 Å
α = 106.22°, β = 106.22°, γ = 90.00°
Fractional positions:
Ce (0.1772, 0.1772, 0.3545)
Ce (0.0000, 0.5000, 0.0000)
Ce (0.5000, 0.0000, 0.0000)
Ce (0.8228, 0.8228, 0.6455)
Cd (0.6329, 0.6329, 0.2658)
Cd (0.3671, 0.3671, 0.7342)
Co (0.0000, 0.0000, 0.0000)